1.
Material: CdTcAu3
Method: DFT, SCAN
State: single point on PBEsol structure

a = 4.966 Å, b = 4.966 Å, c = 4.966 Å
α = 90.00°, β = 90.00°, γ = 90.00°
Site moments in Bohr magnetons follow the coordinates.
Fractional positions:
1 Au 0.000 0.500 0.000  0.03
2 Au 0.000 0.000 0.500  0.03
3 Au 0.500 0.000 0.000  0.03
4 Tc 0.500 0.500 0.500  4.19
5 Cd 0.000 0.000 0.000  0.00

Fermi-level density of states   2.30 states/eV per cell
Total magnetic moment   4.63 μB per cell
Total energy   -53.33 eV per atom

=====

2.
Material: CdTc2Au
Method: DFT, SCAN
State: single point on PBEsol structure

a = 2.780 Å, b = 2.780 Å, c = 9.520 Å
α = 81.60°, β = 81.60°, γ = 60.00°
Fractional positions:
1 Au 0.500 0.500 0.500
2 Cd 0.000 0.000 0.000
3 Tc 0.248 0.248 0.257
4 Tc 0.752 0.752 0.743

Fermi-level density of states   3.48 states/eV per cell
Total magnetic moment   0.00 μB per cell
Total energy   -41.97 eV per atom

=====

3.
Material: CdTc2Au
Method: DFT, SCAN
State: single point on PBEsol structure

a = 2.694 Å, b = 5.324 Å, c = 5.136 Å
α = 58.78°, β = 90.06°, γ = 90.11°
Fractional positions:
1 Au 0.500 0.500 0.000
2 Cd 0.500 0.000 0.000
3 Tc 0.000 0.000 0.500
4 Tc 0.000 0.500 0.500

Fermi-level density of states   3.54 states/eV per cell
Total magnetic moment   0.00 μB per cell
Total energy   -41.96 eV per atom

=====

4.
Material: CdTc2Au
Method: DFT, SCAN
State: single point on PBEsol structure

a = 3.780 Å, b = 3.780 Å, c = 4.409 Å
α = 90.00°, β = 90.00°, γ = 90.00°
Fractional positions:
1 Au 0.500 0.000 0.500
2 Cd 0.000 0.500 0.500
3 Tc 0.000 0.000 0.000
4 Tc 0.500 0.500 0.000

Fermi-level density of states   3.92 states/eV per cell
Total magnetic moment   0.00 μB per cell
Total energy   -41.99 eV per atom